1.
This record from the Alexandria database describes KRb3Se after structural relaxation. The functional is GGA-PBE.

Cell: 7.1417 7.1417 7.1417 Å, 90.00 90.00 90.00°
Fractional positions:
1 K 0.0000 0.0000 0.0000
2 Rb 0.0000 0.0000 0.5000
3 Rb 0.0000 0.5000 0.0000
4 Rb 0.5000 0.0000 0.0000
5 Se 0.5000 0.5000 0.5000

## Properties
crystal system: cubic
E_form (uncorrected): 20 kJ/mol of atoms
symmetry: Pm-3m (221)
relative energy among the computed polymorphs: 0.753 eV per atom

***

2.
This record from the Alexandria database describes CaYHg2 after structural relaxation. The functional is GGA-PBE.

Cell: 4.4871 4.4871 10.7220 Å, 90.00 90.00 90.00°
Fractional positions:
1 Ca 0.0000 0.0000 0.0000
2 Ca 0.5000 0.5000 0.5000
3 Y 0.0000 0.5000 0.2500
4 Y 0.5000 0.0000 0.7500
5 Hg 0.0000 0.0000 0.5000
6 Hg 0.0000 0.5000 0.7500
7 Hg 0.5000 0.0000 0.2500
8 Hg 0.5000 0.5000 0.0000

## Properties
crystal system: tetragonal
symmetry: I-4m2 (119)
relative energy among the computed polymorphs: 0.241 eV per atom
ΔH_f (0 K): -1.24 eV per formula unit

***

3.
This record from the Alexandria database describes Li2SnPt after structural relaxation. The functional is GGA-PBE.

Cell: 3.0275 3.0275 28.6399 Å, 90.00 90.00 120.00°
Fractional positions:
1 Li 0.0000 0.0000 0.1002
2 Li 0.0000 0.0000 0.8998
3 Li 0.3333 0.6667 0.5665
4 Li 0.3333 0.6667 0.7668
5 Li 0.6667 0.3333 0.2332
6 Li 0.6667 0.3333 0.4335
7 Sn 0.0000 0.0000 0.0000
8 Sn 0.3333 0.6667 0.6667
9 Sn 0.6667 0.3333 0.3333
10 Pt 0.0000 0.0000 0.5000
11 Pt 0.3333 0.6667 0.1667
12 Pt 0.6667 0.3333 0.8333

## Properties
crystal system: trigonal
symmetry: R-3m (166)
ΔH_f (0 K): -0.81 eV per formula unit

***

no.,magnetic moment (μB per formula unit)
1,0.0
2,0.0
3,0.0